No. 1
First-principles (PBE) data for ZrNbZnRe after structural relaxation, as listed in the Alexandria database.

Values from the calculation:
As for the space-group type: F-43m, No. 216. The calculation puts the calculated total energy at -8.217 eV per atom.

Geometry as POSCAR:
```
ZrNbZnRe
1.0
4.623 0.000 0.000
2.312 4.004 0.000
2.312 1.335 3.775
Zn Zr Nb Re
1 1 1 1
direct
0.000 0.000 0.000
0.750 0.750 0.750
0.250 0.250 0.250
0.500 0.500 0.500
```



No. 2
First-principles (PBE) data for CsRb2Zn after structural relaxation, as listed in the Alexandria database.

Values from the calculation:
As for the space-group type: R-3m, No. 166. The calculation puts the calculated total energy at -0.736 eV per atom.

Geometry as POSCAR:
```
CsRb2Zn
1.0
5.037 0.000 0.000
2.518 4.362 0.000
2.518 1.454 16.401
Cs Zn Rb
1 1 2
direct
0.500 0.500 0.500
0.000 0.000 0.000
0.922 0.922 0.234
0.078 0.078 0.766
```



No. 3
First-principles (PBE) data for TaSi2AsP after structural relaxation, as listed in the Alexandria database.

Values from the calculation:
As for the space-group type: P4/mmm, No. 123. The value obtained for the formation energy without anion corrections is 1.366 eV per atom.

Geometry as POSCAR:
```
TaSi2AsP
1.0
4.634 0.000 0.000
0.000 4.930 0.000
0.000 0.000 4.634
Si Ta P As
2 1 1 1
direct
0.500 0.000 0.000
0.000 0.000 0.500
0.000 0.500 0.000
0.500 0.500 0.500
0.000 0.000 0.000
```



No. 4
First-principles (PBE) data for SrTl5Ag after structural relaxation, as listed in the Alexandria database.

Values from the calculation:
As for the space-group type: P4/mmm, No. 123. The calculation puts the calculated total energy at -2.442 eV per atom.

Geometry as POSCAR:
```
SrTl5Ag
1.0
5.087 0.000 0.000
0.000 5.087 0.000
0.000 0.000 8.031
Tl Sr Ag
5 1 1
direct
0.500 0.000 0.295
0.000 0.500 0.295
0.000 0.500 0.705
0.500 0.500 0.000
0.500 0.000 0.705
0.000 0.000 0.000
0.000 0.000 0.500
```



No. 5
First-principles (PBE) data for RbMnI3 after structural relaxation, as listed in the Alexandria database.

Values from the calculation:
As for the space-group type: I-4m2, No. 119. The value obtained for the formation energy without anion corrections is -0.567 eV per atom.

Geometry as POSCAR:
```
RbMnI3
1.0
7.673 0.000 0.000
0.000 7.673 0.000
3.836 3.836 7.757
I Mn Rb
6 2 2
direct
0.112 0.853 0.775
0.629 0.888 0.225
0.147 0.888 0.225
0.112 0.371 0.775
0.658 0.658 0.684
0.342 0.342 0.316
0.250 0.750 0.500
0.000 0.000 0.000
0.603 0.103 0.794
0.897 0.397 0.206
```



No. 6
First-principles (PBE) data for Na2DyHf2S6 after structural relaxation, as listed in the Alexandria database.

Values from the calculation:
As for the space-group type: C2/m, No. 12. The value obtained for the formation energy without anion corrections is -1.636 eV per atom.

Geometry as POSCAR:
```
Na2DyHf2S6
1.0
6.506 -0.047 0.074
-3.257 5.632 0.074
-1.143 -1.965 6.790
S Dy Hf Na
6 1 2 2
direct
0.281 0.281 0.281
0.719 0.719 0.719
0.421 0.069 0.718
0.931 0.579 0.282
0.579 0.931 0.282
0.069 0.421 0.718
0.000 0.000 0.500
0.666 0.334 0.500
0.334 0.666 0.500
0.837 0.163 0.000
0.163 0.837 0.000
```



No. 7
First-principles (PBE) data for Er8Zn2Tc after structural relaxation, as listed in the Alexandria database.

Values from the calculation:
As for the space-group type: C2/m, No. 12. The calculation puts the calculated total energy at -4.644 eV per atom.

Geometry as POSCAR:
```
Er8Zn2Tc
1.0
5.146 0.000 0.000
0.000 6.749 0.042
-2.573 -2.843 8.106
Er Tc Zn
8 1 2
direct
0.662 0.966 0.324
0.974 0.208 0.948
0.338 0.034 0.676
0.195 0.302 0.391
0.026 0.792 0.052
0.407 0.563 0.815
0.805 0.698 0.609
0.593 0.437 0.185
0.500 0.000 0.000
0.183 0.710 0.365
0.817 0.290 0.635
```



No. 8
First-principles (PBE) data for BCCl2 after structural relaxation, as listed in the Alexandria database.

Values from the calculation:
As for the space-group type: I-42d, No. 122. The value obtained for the formation energy without anion corrections is 2.219 eV per atom.

Geometry as POSCAR:
```
BCCl2
1.0
-1.858 0.121 4.001
3.583 -1.917 1.722
3.610 5.219 3.953
Cl C B
4 2 2
direct
0.625 0.125 0.250
0.125 0.625 0.250
0.375 0.375 0.750
0.875 0.875 0.750
0.000 0.000 0.000
0.750 0.250 0.500
0.500 0.500 0.000
0.250 0.750 0.500
```